First-principles (SCAN) data for Rb3CrAu at its PBEsol-relaxed geometry, as listed in Alexandria.

The structure in extended XYZ format:
```
5
Lattice="6.6413 0.0000 0.0000 0.0000 6.6413 0.0000 0.0000 0.0000 6.6413" Properties=species:S:1:pos:R:3 pbc="T T T"
Rb 0.0000 0.0000 3.3207
Rb 0.0000 3.3207 0.0000
Rb 3.3207 0.0000 0.0000
Cr 0.0000 0.0000 0.0000
Au 3.3207 3.3207 3.3207
```

## Properties
crystal system	cubic
total DFT energy (no corrections)	-146.93	eV per cell
calculated volume	292.93	Å³/cell
total moment	6.02	Bohr magnetons per cell